No. 1
Below is crystalline LiNiP2O7 at its relaxed geometry, with properties calculated at the GGA+U level.

a b c (Å): 6.6746 8.2101 4.5873
angles (deg): 90.00 103.98 90.00
Space group C2 (No. 5)
Inequivalent atoms, fractional coordinates:
Li 0.0000 0.0000 0.0000 [2 per cell]
Ni 0.0000 0.6307 0.0000 [2 per cell]
P 0.2086 0.2946 0.4182 [4 per cell]
O 0.0000 0.2333 0.5000 [2 per cell]
O 0.1293 0.8115 0.2862 [4 per cell]
O 0.1759 0.4577 0.2541 [4 per cell]
O 0.2466 0.1574 0.2081 [4 per cell]

Values from the calculation:
E   -6.4249 eV/atom
Spin magnetization   5.8 μB per cell

***

No. 2
Below is crystalline RhWN2F at its relaxed geometry, with properties calculated at the GGA+U level.

a b c (Å): 3.9962 3.9962 3.9993
angles (deg): 90.00 90.00 90.00
Space group P4/mmm (No. 123)
Inequivalent atoms, fractional coordinates:
Rh 0.0000 0.0000 0.0000 [1 per cell]
W 0.5000 0.5000 0.5000 [1 per cell]
N 0.0000 0.5000 0.5000 [2 per cell]
F 0.5000 0.5000 0.0000 [1 per cell]

Values from the calculation:
E   -6.2305 eV/atom
Spin magnetization   1.5 μB per cell